Record 1
Below is a PBEsol-optimized structure of ZrPRu2, with properties calculated at the SCAN level.

Structure (POSCAR):
```
ZrPRu2
1.0
2.930 0.000 0.000
0.000 2.930 0.000
0.000 0.000 6.718
Ru Zr P
2 1 1
Cartesian
0.000 0.000 4.716
0.000 0.000 2.002
1.465 1.465 0.000
1.465 1.465 3.359
```

## Properties
VASP energy: -112.7 eV per cell
Spin magnetization: 0.000 μB/atom
Density of states at the Fermi level: 2.272 states/eV/f.u.
Crystal system: tetragonal
ΔH_f (0 K): -1.93 eV/f.u.
Volume: 14.41 A^3/atom
SG: No. 123


Record 2
Below is a PBEsol-optimized structure of CsZnRe3, with properties calculated at the SCAN level.

Structure (POSCAR):
```
CsZnRe3
1.0
-1.450 -1.270 -4.297
1.196 -4.462 0.916
-4.318 -0.809 1.697
Zn Cs Re
1 1 3
Cartesian
0.000 0.000 0.000
-2.286 -3.271 -0.842
-2.159 -0.405 0.848
0.598 -2.231 0.458
-0.725 -0.635 -2.148
```

## Properties
VASP energy: -250.7 eV per cell
Spin magnetization: 0.967 μB/atom
Density of states at the Fermi level: 5.961 states/eV/f.u.
Crystal system: cubic
ΔH_f (0 K): 13.91 eV/f.u.
Volume: 20.89 A^3/atom
SG: No. 221


Record 3
Below is a PBEsol-optimized structure of Sc3CrAg, with properties calculated at the SCAN level.

Structure (POSCAR):
```
Sc3CrAg
1.0
4.767 0.000 0.000
0.000 4.767 0.000
0.000 0.000 4.767
Ag Sc Cr
1 3 1
Cartesian
2.383 2.383 2.383
0.000 0.000 2.383
2.383 0.000 0.000
0.000 2.383 0.000
0.000 0.000 0.000
```

## Properties
VASP energy: -90.3 eV per cell
Spin magnetization: 0.332 μB/atom
Density of states at the Fermi level: 3.334 states/eV/f.u.
Crystal system: cubic
ΔH_f (0 K): 2.12 eV/f.u.
Volume: 21.66 A^3/atom
SG: No. 221


Record 4
Below is a PBEsol-optimized structure of Cd2In, with properties calculated at the SCAN level.

Structure (POSCAR):
```
Cd2In
1.0
-5.555 1.118 -1.345
-2.814 -3.392 -3.806
-4.217 -3.568 1.843
Cd In
4 2
Cartesian
-3.682 -2.514 0.508
-1.573 -0.730 -0.414
-4.351 -0.171 -1.086
-2.980 -2.426 -2.317
-6.293 -2.921 -1.654
-9.440 -4.382 -2.481
```

## Properties
VASP energy: -187.8 eV per cell
Spin magnetization: 0.000 μB/atom
Density of states at the Fermi level: 1.137 states/eV/f.u.
Crystal system: cubic
ΔH_f (0 K): 0.30 eV/f.u.
Volume: 23.28 A^3/atom
SG: No. 227


Record 5
Below is a PBEsol-optimized structure of NbGeSbTe2, with properties calculated at the SCAN level.

Structure (POSCAR):
```
NbGeSbTe2
1.0
5.302 0.000 0.000
0.000 5.302 0.000
0.000 0.000 5.364
Ge Nb Te Sb
1 1 2 1
Cartesian
2.651 2.651 2.682
0.000 0.000 0.000
0.000 2.651 0.000
2.651 0.000 0.000
0.000 0.000 2.682
```

## Properties
VASP energy: -161.1 eV per cell
Spin magnetization: 0.173 μB/atom
Density of states at the Fermi level: 4.894 states/eV/f.u.
Crystal system: tetragonal
Volume: 30.16 A^3/atom
SG: No. 123


Record 6
Below is a PBEsol-optimized structure of AgBrF2, with properties calculated at the SCAN level.

Structure (POSCAR):
```
AgBrF2
1.0
-0.709 2.961 -2.399
-3.592 1.421 -0.316
-0.296 5.320 3.523
Ag F Br
1 2 1
Cartesian
-2.298 4.851 0.404
-0.678 4.026 2.038
-3.919 5.676 -1.230
0.000 0.000 0.000
```

## Properties
VASP energy: -61.2 eV per cell
Spin magnetization: 0.000 μB/atom
Crystal system: trigonal
Volume: 19.46 A^3/atom
SG: No. 166
Polymorph energy (0 for the lowest one): 0.000 kcal/mol of atoms


Record 7
Below is a PBEsol-optimized structure of ScTl2Te, with properties calculated at the SCAN level.

Structure (POSCAR):
```
ScTl2Te
1.0
3.849 0.000 0.000
0.000 4.723 0.000
0.000 0.000 5.696
Te Tl Sc
1 2 1
Cartesian
0.000 2.362 2.848
0.000 0.000 0.000
1.924 2.362 0.000
1.924 0.000 2.848
```

## Properties
VASP energy: -197.3 eV per cell
Spin magnetization: 0.000 μB/atom
Density of states at the Fermi level: 2.910 states/eV/f.u.
Crystal system: orthorhombic
Volume: 25.89 A^3/atom
SG: No. 47
Polymorph energy (0 for the lowest one): 3.551 kcal/mol of atoms


Record 8
Below is a PBEsol-optimized structure of LaCo2, with properties calculated at the SCAN level.

Structure (POSCAR):
```
LaCo2
1.0
5.043 0.000 0.000
2.522 4.367 0.000
2.522 1.456 4.118
Co La
4 2
Cartesian
2.522 2.912 0.515
2.522 1.456 2.574
3.782 0.728 0.515
1.261 0.728 0.515
5.043 2.912 2.059
7.565 4.367 3.088
```

## Properties
VASP energy: -154.8 eV per cell
Spin magnetization: 0.457 μB/atom
Density of states at the Fermi level: 2.352 states/eV/f.u.
Crystal system: cubic
ΔH_f (0 K): 0.30 eV/f.u.
Volume: 15.12 A^3/atom
SG: No. 227


Record 9
Below is a PBEsol-optimized structure of ZrTl2Ir, with properties calculated at the SCAN level.

Structure (POSCAR):
```
ZrTl2Ir
1.0
-1.152 -2.808 0.258
4.144 -1.966 -2.894
0.748 0.187 5.369
Tl Ir Zr
2 1 1
Cartesian
2.072 -0.983 -1.447
0.374 0.094 2.684
1.870 -2.294 1.366
-0.576 -1.404 0.129
```

## Properties
VASP energy: -245.3 eV per cell
Spin magnetization: 0.000 μB/atom
Density of states at the Fermi level: 2.894 states/eV/f.u.
Crystal system: orthorhombic
ΔH_f (0 K): 1.23 eV/f.u.
Volume: 20.17 A^3/atom
SG: No. 65
Polymorph energy (0 for the lowest one): 6.007 kcal/mol of atoms


Record 10
Below is a PBEsol-optimized structure of K2MgSe, with properties calculated at the SCAN level.

Structure (POSCAR):
```
K2MgSe
1.0
4.912 0.000 0.000
0.000 4.912 0.000
-2.456 -2.456 5.287
K Se Mg
2 1 1
Cartesian
2.456 0.000 2.644
0.000 0.000 0.000
0.000 2.456 2.644
2.456 2.456 0.000
```

## Properties
VASP energy: -43.4 eV per cell
Spin magnetization: 0.000 μB/atom
Density of states at the Fermi level: 0.143 states/eV/f.u.
Crystal system: tetragonal
Volume: 31.90 A^3/atom
SG: No. 119
Polymorph energy (0 for the lowest one): 2.994 kcal/mol of atoms


Record 11
Below is a PBEsol-optimized structure of RbPCl2, with properties calculated at the SCAN level.

Structure (POSCAR):
```
RbPCl2
1.0
-3.166 -1.910 0.497
0.127 -3.602 0.964
-1.051 0.516 9.286
Cl P Rb
2 1 1
Cartesian
-1.041 -0.085 7.039
-3.049 -4.911 3.708
0.000 0.000 0.000
-2.045 -2.498 5.374
```

## Properties
VASP energy: -49.4 eV per cell
Spin magnetization: 0.000 μB/atom
Density of states at the Fermi level: 1.021 states/eV/f.u.
Crystal system: trigonal
Volume: 27.45 A^3/atom
SG: No. 166
Polymorph energy (0 for the lowest one): 0.000 kcal/mol of atoms


Record 12
Below is a PBEsol-optimized structure of Na2BeGaRe, with properties calculated at the SCAN level.

Structure (POSCAR):
```
Na2BeGaRe
1.0
-3.306 -2.873 -1.831
-1.028 -1.689 4.508
-3.380 3.536 0.554
Be Ga Na Re
1 1 2 1
Cartesian
-3.857 -0.513 1.616
0.000 0.000 0.000
-0.514 -0.845 2.254
-1.690 1.768 0.277
-1.653 -1.437 -0.915
```

## Properties
VASP energy: -93.1 eV per cell
Spin magnetization: 0.204 μB/atom
Density of states at the Fermi level: 3.001 states/eV/f.u.
Crystal system: tetragonal
ΔH_f (0 K): 7.14 eV/f.u.
Volume: 23.01 A^3/atom
SG: No. 123


Record 13
Below is a PBEsol-optimized structure of Ta2PbAu, with properties calculated at the SCAN level.

Structure (POSCAR):
```
Ta2PbAu
1.0
3.019 0.000 0.000
1.510 2.615 0.000
1.510 0.872 9.632
Ta Au Pb
2 1 1
Cartesian
4.529 2.615 7.093
1.510 0.872 2.539
3.019 1.743 4.816
0.000 0.000 0.000
```

## Properties
VASP energy: -276.6 eV per cell
Spin magnetization: 0.000 μB/atom
Density of states at the Fermi level: 3.420 states/eV/f.u.
Crystal system: trigonal
ΔH_f (0 K): 1.50 eV/f.u.
Volume: 19.01 A^3/atom
SG: No. 166


Record 14
Below is a PBEsol-optimized structure of TlTc2Se2, with properties calculated at the SCAN level.

Structure (POSCAR):
```
TlTc2Se2
1.0
-1.209 0.588 4.588
2.935 -4.435 -1.150
4.626 0.174 1.197
Se Tc Tl
2 2 1
Cartesian
2.322 -2.027 0.871
4.030 -1.647 3.764
1.713 -0.699 3.032
4.639 -2.975 1.603
0.000 0.000 0.000
```

## Properties
VASP energy: -181.7 eV per cell
Spin magnetization: 0.000 μB/atom
Density of states at the Fermi level: 2.884 states/eV/f.u.
Crystal system: tetragonal
Volume: 19.49 A^3/atom
SG: No. 139